1.
SrHgSO: optimized geometry, PBE.

Unit cell a=4.0950 b=4.0950 c=11.3744 alpha=90.00 beta=90.00 gamma=90.00
Closest atoms and distances in Å follow each position.
Element x y z (fractional)
Hg: 0.7500 0.7500 0.1118  5 S 2.75-2.90
Hg: 0.2500 0.2500 0.8882  5 S 2.75-2.90
Sr: 0.2500 0.2500 0.3976  4 O 2.36
Sr: 0.7500 0.7500 0.6024  4 O 2.36
O: 0.2500 0.7500 0.5000  4 Sr 2.36
O: 0.7500 0.2500 0.5000  4 Sr 2.36
S: 0.2500 0.2500 0.1298  5 Hg 2.75-2.90, 1 Sr 3.05
S: 0.7500 0.7500 0.8702  5 Hg 2.75-2.90, 1 Sr 3.05

* SG: No. 129
* raw total energy: -3.91 eV per atom

=====

2.
SrHgSO: optimized geometry, PBE.

Unit cell a=7.9305 b=12.8484 c=7.4718 alpha=90.00 beta=90.00 gamma=90.00
Closest atoms and distances in Å follow each position.
Element x y z (fractional)
Hg: 0.5022 0.7116 0.7496  2 O 2.26-2.27, 1 S 2.46
Hg: 0.9979 0.2116 0.7496  2 O 2.26-2.27, 1 S 2.46
Hg: 0.4979 0.2116 0.7504  2 O 2.26-2.27, 1 S 2.46
Hg: 0.0021 0.7116 0.7504  2 O 2.26-2.27, 1 S 2.46
Hg: 0.9979 0.2884 0.2496  2 O 2.26-2.27, 1 S 2.46
Hg: 0.4979 0.2884 0.2504  2 O 2.26-2.27, 1 S 2.46
Hg: 0.0021 0.7884 0.2504  2 O 2.26-2.27, 1 S 2.46
Hg: 0.5022 0.7884 0.2496  2 O 2.26-2.27, 1 S 2.46
Sr: 0.2501 0.5001 0.4994  2 O 2.47
Sr: 0.2499 0.0001 0.4994  2 O 2.47
Sr: 0.7499 0.0001 0.0006  2 O 2.47
Sr: 0.7501 0.5001 0.0006  2 O 2.47
Sr: 0.2499 0.4999 0.9994  2 O 2.47
Sr: 0.7499 0.4999 0.5006  2 O 2.47
Sr: 0.7501 0.9999 0.5006  2 O 2.47
Sr: 0.2501 0.9999 0.9994  2 O 2.47
S: 0.5004 0.0973 0.2503  1 Hg 2.46
S: 0.9996 0.9027 0.7503  1 Hg 2.46
S: 0.5004 0.4027 0.7503  1 Hg 2.46
S: 0.0004 0.0973 0.2497  1 Hg 2.46
S: 0.4996 0.5973 0.2497  1 Hg 2.46
S: 0.4996 0.9027 0.7497  1 Hg 2.46
S: 0.9996 0.5973 0.2503  1 Hg 2.46
S: 0.0004 0.4027 0.7497  1 Hg 2.46
O: 0.2512 0.8742 0.2496  2 Hg 2.26-2.27, 2 Sr 2.47
O: 0.7512 0.6258 0.7504  2 Hg 2.26-2.27, 2 Sr 2.47
O: 0.7512 0.8742 0.2504  2 Hg 2.26-2.27, 2 Sr 2.47
O: 0.7488 0.3742 0.2504  2 Hg 2.26-2.27, 2 Sr 2.47
O: 0.7488 0.1258 0.7504  2 Hg 2.26-2.27, 2 Sr 2.47
O: 0.2488 0.3742 0.2496  2 Hg 2.26-2.27, 2 Sr 2.47
O: 0.2512 0.6258 0.7496  2 Hg 2.26-2.27, 2 Sr 2.47
O: 0.2488 0.1258 0.7496  2 Hg 2.26-2.27, 2 Sr 2.47

* SG: No. 61
* raw total energy: -4.02 eV per atom

=====

3.
SrHgSO: optimized geometry, PBE.

Unit cell a=7.3629 b=3.7999 c=12.4737 alpha=90.00 beta=90.00 gamma=90.00
Closest atoms and distances in Å follow each position.
Element x y z (fractional)
O: 0.2769 0.2500 0.1242  2 Hg 2.28, 2 Sr 2.42-2.44
O: 0.7231 0.7500 0.8758  2 Hg 2.28, 2 Sr 2.42-2.44
O: 0.7769 0.2500 0.3758  2 Hg 2.28, 2 Sr 2.42-2.44
O: 0.2231 0.7500 0.6242  2 Hg 2.28, 2 Sr 2.42-2.44
S: 0.6843 0.2500 0.6316  2 Hg 2.77, 4 Sr 3.03-3.05
S: 0.8157 0.7500 0.1316  2 Hg 2.77, 4 Sr 3.03-3.05
S: 0.3157 0.7500 0.3684  2 Hg 2.77, 4 Sr 3.03-3.05
S: 0.1843 0.2500 0.8684  2 Hg 2.77, 4 Sr 3.03-3.05
Sr: 0.4529 0.7500 0.7656  2 O 2.42-2.44
Sr: 0.9529 0.7500 0.7344  2 O 2.42-2.44
Sr: 0.0471 0.2500 0.2656  2 O 2.42-2.44
Sr: 0.5471 0.2500 0.2344  2 O 2.42-2.44
Hg: 0.7214 0.7500 0.4715  2 O 2.28
Hg: 0.2786 0.2500 0.5285  2 O 2.28
Hg: 0.7786 0.2500 0.9715  2 O 2.28
Hg: 0.2214 0.7500 0.0285  2 O 2.28

* SG: No. 62
* raw total energy: -3.95 eV per atom

=====

4.
SrHgSO: optimized geometry, PBE.

Unit cell a=6.1446 b=9.5739 c=6.0547 alpha=90.00 beta=90.00 gamma=90.00
Closest atoms and distances in Å follow each position.
Element x y z (fractional)
Hg: 0.4744 0.1051 0.0400  1 O 2.07
Hg: 0.5256 0.8949 0.5400  1 O 2.07
Hg: 0.9744 0.8949 0.0400  1 O 2.07
Hg: 0.0256 0.1051 0.5400  1 O 2.07
S: 0.0000 0.3586 0.5509  1 Hg 2.43
S: 0.4999 0.6414 0.5509  1 Hg 2.43
S: 0.0000 0.6414 0.0509  1 Hg 2.43
S: 0.5001 0.3586 0.0509  1 Hg 2.43
O: 0.5677 0.9023 0.1110  1 Hg 2.07, 1 Sr 2.28
O: 0.4323 0.0977 0.6110  1 Hg 2.07, 1 Sr 2.28
O: 0.0677 0.0977 0.1110  1 Hg 2.07, 1 Sr 2.28
O: 0.9323 0.9023 0.6110  1 Hg 2.07, 1 Sr 2.28
Sr: 0.9983 0.3280 0.0481  1 O 2.28
Sr: 0.4983 0.6720 0.0481  1 O 2.28
Sr: 0.0017 0.6720 0.5481  1 O 2.28
Sr: 0.5017 0.3280 0.5481  1 O 2.28

* SG: No. 29
* raw total energy: -4.03 eV per atom

=====

5.
SrHgSO: optimized geometry, PBE.

Unit cell a=7.2509 b=7.2509 c=6.6697 alpha=90.00 beta=90.00 gamma=31.53
Closest atoms and distances in Å follow each position.
Element x y z (fractional)
O: 0.9516 0.9516 0.0268  2 Hg 2.36, 2 Sr 2.41-2.42
O: 0.0484 0.0484 0.5268  2 Hg 2.36, 2 Sr 2.41-2.42
S: 0.2856 0.2856 0.5950  1 Hg 2.44
S: 0.7144 0.7144 0.0950  1 Hg 2.44
Hg: 0.6197 0.6197 0.4018  2 O 2.36, 1 S 2.44
Hg: 0.3803 0.3803 0.9018  2 O 2.36, 1 S 2.44
Sr: 0.8933 0.8933 0.3689  2 O 2.41-2.42
Sr: 0.1067 0.1067 0.8689  2 O 2.41-2.42

* SG: No. 36
* raw total energy: -3.93 eV per atom

=====

6.
SrHgSO: optimized geometry, PBE.

Unit cell a=4.3296 b=4.3296 c=9.2435 alpha=90.00 beta=90.00 gamma=90.00
Closest atoms and distances in Å follow each position.
Element x y z (fractional)
Hg: 0.2500 0.2500 0.4067  4 O 2.33, 1 S 2.53
Hg: 0.7500 0.7500 0.5933  4 O 2.33, 1 S 2.53
O: 0.7500 0.2500 0.5000  4 Hg 2.33
O: 0.2500 0.7500 0.5000  4 Hg 2.33
S: 0.2500 0.2500 0.1329  1 Hg 2.53
S: 0.7500 0.7500 0.8671  1 Hg 2.53
Sr: 0.2500 0.2500 0.8111  5 S 2.97-3.11
Sr: 0.7500 0.7500 0.1889  5 S 2.97-3.11

* SG: No. 129
* raw total energy: -3.86 eV per atom

=====

7.
SrHgSO: optimized geometry, PBE.

Unit cell a=6.0500 b=4.0734 c=14.6570 alpha=90.00 beta=90.00 gamma=90.00
Closest atoms and distances in Å follow each position.
Element x y z (fractional)
Sr: 0.7489 0.2500 0.9029  2 O 2.40
Sr: 0.2511 0.7500 0.0971  2 O 2.40
Sr: 0.7511 0.7500 0.4029  2 O 2.40
Sr: 0.2489 0.2500 0.5971  2 O 2.40
Hg: 0.7135 0.2500 0.1756  1 O 2.17
Hg: 0.2865 0.7500 0.8244  1 O 2.17
Hg: 0.7865 0.7500 0.6756  1 O 2.17
Hg: 0.2135 0.2500 0.3244  1 O 2.17
O: 0.7985 0.2500 0.3192  1 Hg 2.17, 2 Sr 2.40
O: 0.2015 0.7500 0.6808  1 Hg 2.17, 2 Sr 2.40
O: 0.2985 0.2500 0.1808  1 Hg 2.17, 2 Sr 2.40
O: 0.7015 0.7500 0.8192  1 Hg 2.17, 2 Sr 2.40
S: 0.2541 0.7500 0.4318  2 Hg 2.59
S: 0.7459 0.2500 0.5682  2 Hg 2.59
S: 0.2459 0.2500 0.9318  2 Hg 2.59
S: 0.7541 0.7500 0.0682  2 Hg 2.59

* SG: No. 62
* raw total energy: -4.12 eV per atom

=====

8.
SrHgSO: optimized geometry, PBE.

Unit cell a=5.0636 b=5.0636 c=7.6959 alpha=90.00 beta=90.00 gamma=90.00
Closest atoms and distances in Å follow each position.
Element x y z (fractional)
Hg: 0.2500 0.2500 0.6886  1 O 2.31
Hg: 0.7500 0.7500 0.3114  1 O 2.31
Sr: 0.2500 0.7500 0.0000  4 S 2.88
Sr: 0.7500 0.2500 0.0000  4 S 2.88
O: 0.2500 0.2500 0.3880  1 S 1.60
O: 0.7500 0.7500 0.6120  1 S 1.60
S: 0.2500 0.2500 0.1795  1 O 1.60
S: 0.7500 0.7500 0.8205  1 O 1.60

* SG: No. 129
* raw total energy: -3.54 eV per atom